Computed, not measured: an optimized crystal structure of Pm4DySc2 at the GGA-PBE level of DFT.

distance to the lowest polymorph of the same formula: 0 meV per atom
energy of formation: 153.2 meV/atom
calculated total energy: -70.390 eV/cell

The structure in POSCAR format:
```
Pm4DySc2
1.0
5.538 0.000 0.000
0.000 6.863 0.000
-2.774 0.000 11.533
Pm Dy Sc
8 2 4
direct
0.068 0.250 0.141
0.216 0.750 0.434
0.356 0.502 0.711
0.356 0.998 0.711
0.644 0.002 0.289
0.644 0.498 0.289
0.784 0.250 0.566
0.932 0.750 0.859
0.078 0.750 0.150
0.922 0.250 0.850
0.211 0.250 0.421
0.496 0.250 0.999
0.504 0.750 0.001
0.789 0.750 0.579
```



Computed, not measured: an optimized crystal structure of Zn2RuSe at the GGA-PBE level of DFT.

calculated total energy: -14.243 eV/cell

The structure in POSCAR format:
```
Zn2RuSe
1.0
0.000 3.140 3.140
3.140 0.000 3.140
3.140 3.140 0.000
Zn Ru Se
2 1 1
direct
0.000 0.000 0.000
0.250 0.250 0.250
0.750 0.750 0.750
0.500 0.500 0.500
```